# PBE CeDyGe, relaxed
# Calculated formation energy = -0.683 eV per atom
# Crystal system = tetragonal
data_CeDyGe
_chemical_formula_sum 'Ce4 Dy4 Ge4'
_cell_length_a 4.187
_cell_length_b 4.187
_cell_length_c 16.850
_cell_angle_alpha 90.00
_cell_angle_beta 90.00
_cell_angle_gamma 90.00
_space_group_name_H-M_alt 'I 4/m m m'
_space_group_IT_number 139
_space_group_name_Hall '-I 4 2'
loop_
_atom_site_label
_atom_site_fract_x
_atom_site_fract_y
_atom_site_fract_z
_atom_site_occupancy
Ce1 0.000 0.500 0.000 1
Dy1 0.000 0.000 0.180 1
Ge1 0.000 0.000 0.359 1

=====

# PBE Sn3Br4Cl2, relaxed
# Energy = -3.22 eV/atom
# Crystal system = hexagonal
data_Sn3Br4Cl2
_chemical_formula_sum 'Sn3 Br4 Cl2'
_cell_length_a 4.1633
_cell_length_b 4.1633
_cell_length_c 22.1630
_cell_angle_alpha 90.00
_cell_angle_beta 90.00
_cell_angle_gamma 120.00
_space_group_name_H-M_alt 'P -6 m 2'
_space_group_IT_number 187
_space_group_name_Hall 'P -6 2'
loop_
_atom_site_label
_atom_site_fract_x
_atom_site_fract_y
_atom_site_fract_z
_atom_site_occupancy
Sn1 0.0000 0.0000 0.0000 1
Sn2 0.3333 0.6667 0.3222 1
Br1 0.0000 0.0000 0.2384 1
Br2 0.0000 0.0000 0.4061 1
Cl1 0.3333 0.6667 0.0752 1

=====

# PBE Sr2NpCrN5, relaxed
# Energy = -8.35 eV/atom
# Crystal system = orthorhombic
data_Sr2NpCrN5
_chemical_formula_sum 'Sr8 Np4 Cr4 N20'
_cell_length_a 3.501
_cell_length_b 14.400
_cell_length_c 10.897
_cell_angle_alpha 90.00
_cell_angle_beta 90.00
_cell_angle_gamma 90.00
_space_group_name_H-M_alt 'C m c 21'
_space_group_IT_number 36
loop_
_space_group_symop_operation_xyz
'x,y,z'
'-x,-y,z+1/2'
'-x,y,z'
'x,-y,z+1/2'
'x+1/2,y+1/2,z'
'-x+1/2,-y+1/2,z+1/2'
'-x+1/2,y+1/2,z'
'x+1/2,-y+1/2,z+1/2'
loop_
_atom_site_label
_atom_site_fract_x
_atom_site_fract_y
_atom_site_fract_z
_atom_site_occupancy
Sr1 0.000 0.110 0.000 1
Sr2 0.000 0.139 0.657 1
Np1 0.000 0.197 0.354 1
Cr1 0.000 0.455 0.759 1
N1 0.000 0.042 0.327 1
N2 0.000 0.296 0.973 1
N3 0.000 0.323 0.730 1
N4 0.000 0.333 0.335 1
N5 0.000 0.500 0.121 1

=====

# PBE NaAgIF, relaxed
# Energy = -3.09 eV/atom
# Crystal system = trigonal
data_NaAgIF
_chemical_formula_sum 'Na6 Ag6 I6 F6'
_cell_length_a 4.2001
_cell_length_b 4.2001
_cell_length_c 41.2424
_cell_angle_alpha 90.00
_cell_angle_beta 90.00
_cell_angle_gamma 120.00
_space_group_name_H-M_alt 'R -3 m'
_space_group_IT_number 166
_space_group_name_Hall '-R 3 2"'
loop_
_atom_site_label
_atom_site_fract_x
_atom_site_fract_y
_atom_site_fract_z
_atom_site_occupancy
Na1 0.0000 0.0000 0.0000 1
Na2 0.0000 0.0000 0.5000 1
Ag1 0.0000 0.0000 0.2433 1
I1 0.0000 0.0000 0.3835 1
F1 0.0000 0.0000 0.1914 1

=====

# PBE CsK2I2, relaxed
# ΔE to the lowest computed polymorph = 0 kJ/mol of formula units
# Crystal system = tetragonal
data_CsK2I2
_chemical_formula_sum 'Cs2 K4 I4'
_cell_length_a 10.175
_cell_length_b 10.175
_cell_length_c 5.094
_cell_angle_alpha 90.00
_cell_angle_beta 90.00
_cell_angle_gamma 90.00
_space_group_name_H-M_alt 'P 4/m b m'
_space_group_IT_number 127
_space_group_name_Hall '-P 4 2ab'
loop_
_atom_site_label
_atom_site_fract_x
_atom_site_fract_y
_atom_site_fract_z
_atom_site_occupancy
Cs1 0.000 0.000 0.000 1
K1 0.150 0.350 0.500 1
I1 0.151 0.651 0.000 1

=====

# PBE Sr3CoPd, relaxed
# Calculated formation energy = 0.279 eV per atom
# ΔE to the lowest computed polymorph = 0 kJ/mol of formula units
# Crystal system = cubic
data_Sr3CoPd
_chemical_formula_sum 'Sr3 Co1 Pd1'
_cell_length_a 5.478
_cell_length_b 5.478
_cell_length_c 5.478
_cell_angle_alpha 90.00
_cell_angle_beta 90.00
_cell_angle_gamma 90.00
_space_group_name_H-M_alt 'P m -3 m'
_space_group_IT_number 221
_space_group_name_Hall '-P 4 2 3'
loop_
_atom_site_label
_atom_site_fract_x
_atom_site_fract_y
_atom_site_fract_z
_atom_site_occupancy
Sr1 0.000 0.000 0.500 1
Co1 0.000 0.000 0.000 1
Pd1 0.500 0.500 0.500 1

=====

# PBE AlFe3Sb, relaxed
# ΔE to the lowest computed polymorph = 186 kJ/mol of formula units
# Crystal system = cubic
data_AlFe3Sb
_chemical_formula_sum 'Al1 Fe3 Sb1'
_cell_length_a 4.753
_cell_length_b 4.753
_cell_length_c 4.753
_cell_angle_alpha 90.00
_cell_angle_beta 90.00
_cell_angle_gamma 90.00
_space_group_name_H-M_alt 'P m -3 m'
_space_group_IT_number 221
_space_group_name_Hall '-P 4 2 3'
loop_
_atom_site_label
_atom_site_fract_x
_atom_site_fract_y
_atom_site_fract_z
_atom_site_occupancy
Al1 0.000 0.000 0.000 1
Fe1 0.000 0.500 0.500 1
Sb1 0.500 0.500 0.500 1

=====

# PBE Sc2Sn2Te, relaxed
# ΔE to the lowest computed polymorph = 0 kJ/mol of formula units
# Crystal system = tetragonal
data_Sc2Sn2Te
_chemical_formula_sum 'Sc4 Sn4 Te2'
_cell_length_a 7.690
_cell_length_b 7.690
_cell_length_c 4.293
_cell_angle_alpha 90.00
_cell_angle_beta 90.00
_cell_angle_gamma 90.00
_space_group_name_H-M_alt 'P 4/m b m'
_space_group_IT_number 127
_space_group_name_Hall '-P 4 2ab'
loop_
_atom_site_label
_atom_site_fract_x
_atom_site_fract_y
_atom_site_fract_z
_atom_site_occupancy
Sc1 0.171 0.329 0.000 1
Sn1 0.132 0.632 0.500 1
Te1 0.000 0.000 0.000 1

=====

# PBE TlTc2Ge, relaxed
# Calculated formation energy = 0.658 eV per atom
# ΔE to the lowest computed polymorph = 46 kJ/mol of formula units
# Crystal system = tetragonal
data_TlTc2Ge
_chemical_formula_sum 'Tl4 Tc8 Ge4'
_cell_length_a 4.142
_cell_length_b 4.142
_cell_length_c 18.514
_cell_angle_alpha 90.00
_cell_angle_beta 90.00
_cell_angle_gamma 90.00
_space_group_name_H-M_alt 'I -4 2 d'
_space_group_IT_number 122
_space_group_name_Hall 'I -4 2bw'
loop_
_atom_site_label
_atom_site_fract_x
_atom_site_fract_y
_atom_site_fract_z
_atom_site_occupancy
Tl1 0.000 0.000 0.000 1
Tc1 0.149 0.250 0.625 1
Ge1 0.000 0.000 0.500 1

=====

# PBE BaAlGa, relaxed
# Calculated formation energy = -0.248 eV per atom
# Crystal system = triclinic
data_BaAlGa
_chemical_formula_sum 'Ba2 Al2 Ga2'
_cell_length_a 4.538
_cell_length_b 4.571
_cell_length_c 11.041
_cell_angle_alpha 93.67
_cell_angle_beta 90.22
_cell_angle_gamma 119.76
_space_group_name_H-M_alt 'P -1'
_space_group_IT_number 2
loop_
_space_group_symop_operation_xyz
'x,y,z'
'-x,-y,-z'
loop_
_atom_site_label
_atom_site_fract_x
_atom_site_fract_y
_atom_site_fract_z
_atom_site_occupancy
Ba1 0.141 0.273 0.306 1
Al1 0.223 0.450 0.919 1
Ga1 0.450 0.895 0.118 1

=====

# PBE Ac4PmSn5, relaxed
# Calculated formation energy = -0.618 eV per atom
# Crystal system = tetragonal
data_Ac4PmSn5
_chemical_formula_sum 'Ac4 Pm1 Sn5'
_cell_length_a 3.782
_cell_length_b 3.782
_cell_length_c 22.903
_cell_angle_alpha 90.00
_cell_angle_beta 90.00
_cell_angle_gamma 90.00
_space_group_name_H-M_alt 'P 4/m m m'
_space_group_IT_number 123
_space_group_name_Hall '-P 4 2'
loop_
_atom_site_label
_atom_site_fract_x
_atom_site_fract_y
_atom_site_fract_z
_atom_site_occupancy
Ac1 0.000 0.000 0.102 1
Ac2 0.000 0.000 0.306 1
Pm1 0.000 0.000 0.500 1
Sn1 0.500 0.500 0.000 1
Sn2 0.500 0.500 0.204 1
Sn3 0.500 0.500 0.408 1

=====

# PBE LaS2BrCl, relaxed
# ΔE to the lowest computed polymorph = 129 kJ/mol of formula units
# Crystal system = tetragonal
data_LaS2BrCl
_chemical_formula_sum 'La1 S2 Br1 Cl1'
_cell_length_a 5.139
_cell_length_b 5.139
_cell_length_c 4.855
_cell_angle_alpha 90.00
_cell_angle_beta 90.00
_cell_angle_gamma 90.00
_space_group_name_H-M_alt 'P 4/m m m'
_space_group_IT_number 123
_space_group_name_Hall '-P 4 2'
loop_
_atom_site_label
_atom_site_fract_x
_atom_site_fract_y
_atom_site_fract_z
_atom_site_occupancy
La1 0.000 0.000 0.000 1
S1 0.000 0.500 0.500 1
Br1 0.500 0.500 0.500 1
Cl1 0.500 0.500 0.000 1